No. 1
The following is a GGA-PBE calculation of an optimized crystal structure of Zr2InCl8, from Alexandria.

Total moment: 1.03 μB per cell
E above lowest polymorph: 0 meV per atom
Space group: P-3 (147)
Final energy: -4.628 eV/atom
ΔE_f (raw): -1.482 eV per atom

Cell: 5.1010 9.2939 9.2956 Å, 120.00 90.01 90.00°
With the nearest neighbours (Å) after each atom.
Fractional positions:
In 0.0000 0.0000 0.0000  6 Cl 3.25
Cl 0.7534 0.3334 0.6667  2 Zr 2.53-2.57
Cl 0.7401 0.3682 0.1851  1 Zr 2.40
Cl 0.2598 0.1851 0.8168  1 Zr 2.40
Cl 0.7402 0.8168 0.6317  1 Zr 2.40
Cl 0.2466 0.6666 0.3333  2 Zr 2.53-2.57
Cl 0.2599 0.6318 0.8149  1 Zr 2.40
Cl 0.2598 0.1832 0.3683  1 Zr 2.40
Cl 0.7402 0.8149 0.1831  1 Zr 2.40
Zr 0.2502 0.3334 0.6667  5 Cl 2.40-2.57
Zr 0.7498 0.6666 0.3333  5 Cl 2.40-2.57

---

No. 2
The following is a GGA-PBE calculation of an optimized crystal structure of Ca2HfThSb4, from Alexandria.

Total moment: 0.00 μB per cell
Space group: P2/m (10)
Final energy: -5.562 eV/atom
ΔE_f (raw): -0.828 eV per atom

Cell: 4.3978 7.5845 7.7840 Å, 109.00 90.00 90.00°
With the nearest neighbours (Å) after each atom.
Fractional positions:
Sb 0.5000 0.2274 0.2292  2 Hf 3.00, 3 Ca 3.13-3.27, 1 Th 3.14
Sb 0.0000 0.7632 0.2392  1 Hf 2.98, 3 Ca 3.13-3.28, 2 Th 3.14
Sb 0.5000 0.7726 0.7708  2 Hf 3.00, 3 Ca 3.13-3.27, 1 Th 3.14
Sb 0.0000 0.2368 0.7608  1 Hf 2.98, 3 Ca 3.13-3.28, 2 Th 3.14
Hf 0.0000 0.0000 0.0000  6 Sb 2.98-3.00
Ca 0.5000 0.0000 0.5000  6 Sb 3.13
Ca 0.0000 0.5000 0.5000  6 Sb 3.27-3.28
Th 0.5000 0.5000 0.0000  6 Sb 3.14

---

No. 3
The following is a GGA-PBE calculation of an optimized crystal structure of ZnReP2, from Alexandria.

Energy of formation: 0.03 eV per atom
Total moment: 0.00 μB per cell
Space group: Amm2 (38)
Final energy: -6.102 eV/atom

Cell: 4.4515 3.2124 4.4904 Å, 68.98 90.00 90.00°
With the nearest neighbours (Å) after each atom.
Fractional positions:
P 0.0000 0.0315 0.0618  3 Re 2.40-2.41
P 0.5000 0.4383 0.2500  3 Zn 2.31-2.47, 2 Re 2.44
Re 0.0000 0.3172 0.4892  5 P 2.40-2.44
Zn 0.5000 0.7130 0.6990  3 P 2.31-2.47